Entry 1:
9
Lattice="7.076 -0.352 2.143 -7.151 -1.882 -0.329 1.479 -3.399 -6.406" Properties=species:S:1:pos:R:3 comment="Re4Ag5, relaxed, DFT PBE" formation_energy_ev_per_atom=0.531 pbc="T T T"
Ag 0.438 -2.608 -0.909
Ag 2.312 -0.864 1.315
Ag 0.000 0.000 0.000
Re 5.551 -2.434 -2.766
Ag -2.387 -1.369 0.499
Re -3.680 -3.427 -4.371
Re -1.991 -1.854 -2.365
Ag 0.965 -3.024 -3.683
Re 3.003 -1.317 -1.497

Entry 2:
16
Lattice="-2.201 -7.273 1.146 3.557 4.599 -5.026 6.166 -0.309 5.157" Properties=species:S:1:pos:R:3 comment="Re5Ag3, relaxed, DFT PBE" e_above_lowest_polymorph_mev_per_atom=0.0 formation_energy_ev_per_atom=0.728 pbc="T T T"
Ag 0.791 -2.483 -2.665
Re 6.351 0.555 1.343
Ag 3.786 -2.814 0.008
Ag 0.574 -0.197 -1.218
Re 0.190 -5.576 0.993
Re 3.572 -0.612 -1.537
Ag 3.741 -0.172 1.270
Re 3.956 -2.374 2.815
Re 1.176 -3.541 -0.065
Re 1.657 -1.824 1.729
Re 7.337 2.590 0.286
Ag 4.768 -4.503 4.381
Re 2.657 -4.537 2.347
Re 4.870 1.551 -1.068
Re 5.870 -1.162 -0.450
Ag 2.760 1.517 -3.103

Entry 3:
6
Lattice="3.564 -2.554 3.126 -0.301 -5.341 0.618 3.735 -3.182 -2.219" Properties=species:S:1:pos:R:3 comment="ReAg5, relaxed, DFT PBE" e_above_lowest_polymorph_mev_per_atom=371.4 formation_energy_ev_per_atom=0.802 pbc="T T T"
Ag 4.492 -5.745 -0.539
Ag 2.624 -4.153 0.572
Ag 5.248 -8.308 1.144
Re 0.000 0.000 0.000
Ag 4.407 -5.431 2.136
Ag 2.473 -6.825 0.881

Entry 4:
6
Lattice="1.373 5.510 -0.018 -1.373 5.510 -0.018 0.000 1.808 6.801" Properties=species:S:1:pos:R:3 comment="ReAg5, relaxed, DFT PBE" e_above_lowest_polymorph_mev_per_atom=0.0 formation_energy_ev_per_atom=0.431 pbc="T T T"
Re 0.000 4.743 6.464
Ag 0.000 1.802 6.741
Ag 0.000 11.470 4.190
Ag 0.000 7.240 1.886
Ag 0.000 4.310 2.192
Ag 0.000 8.592 4.496

Entry 5:
6
Lattice="2.645 -1.963 -4.140 4.580 -1.513 -2.173 0.309 -6.531 1.190" Properties=species:S:1:pos:R:3 comment="Re5Ag, relaxed, DFT PBE" e_above_lowest_polymorph_mev_per_atom=36.8 formation_energy_ev_per_atom=0.304 pbc="T T T"
Re 2.287 -7.075 -0.632
Re 4.564 -3.980 -3.580
Re 5.012 -6.617 -3.417
Re 7.004 -7.249 -5.232
Re 2.495 -3.409 -1.675
Ag 7.211 -3.500 -6.293

Entry 6:
16
Lattice="-3.049 2.875 -3.398 4.806 -0.894 -9.355 -1.205 -5.334 0.629" Properties=species:S:1:pos:R:3 comment="Re3Ag5, relaxed, DFT PBE" e_above_lowest_polymorph_mev_per_atom=0.0 formation_energy_ev_per_atom=0.654 pbc="T T T"
Ag 1.495 -2.468 -4.813
Ag 0.107 -0.902 -6.438
Re 1.602 -1.424 -11.476
Re -2.266 2.146 -2.996
Ag 1.973 -4.263 -6.930
Ag -0.875 -3.214 -3.486
Ag -1.805 0.925 -5.458
Re -0.680 -3.528 -6.288
Re -1.338 -2.093 -0.836
Ag -0.627 -0.399 -3.336
Ag -2.712 -1.643 -4.807
Ag 2.969 -1.723 -7.683
Re 3.629 -0.025 -10.124
Re 1.055 -5.166 -4.355
Ag 0.765 -2.924 -9.013
Ag 1.097 -0.144 -8.968

Entry 7:
16
Lattice="8.090 0.000 0.000 -4.045 7.006 0.000 0.000 0.000 4.724" Properties=species:S:1:pos:R:3 comment="Re5Ag3, relaxed, DFT PBE" e_above_lowest_polymorph_mev_per_atom=289.1 formation_energy_ev_per_atom=1.017 pbc="T T T"
Re 2.541 7.006 3.543
Re 4.045 2.335 4.724
Re 0.000 4.671 0.000
Re 0.000 4.671 2.362
Ag 5.650 4.225 1.181
Re 1.504 0.000 1.181
Re 0.752 1.302 3.543
Ag 2.439 4.225 3.543
Ag 4.878 0.000 1.181
Re 3.293 5.704 1.181
Ag -1.605 2.781 3.543
Ag 1.606 2.781 1.181
Re 7.338 1.302 1.181
Re 4.045 2.335 2.362
Ag -0.834 7.006 3.543
Re -3.293 5.704 3.543

Entry 8:
6
Lattice="2.668 -4.621 0.000 2.668 4.621 0.000 0.000 0.000 4.791" Properties=species:S:1:pos:R:3 comment="ReAg5, relaxed, DFT PBE" e_above_lowest_polymorph_mev_per_atom=501.5 formation_energy_ev_per_atom=0.932 pbc="T T T"
Re 0.000 0.000 0.000
Ag 1.334 -2.311 2.396
Ag 1.334 2.311 2.396
Ag 2.668 0.000 2.396
Ag 2.668 -1.540 0.000
Ag 2.668 1.540 0.000